Compound: AsNCl2
Source: Alexandria
Functional: meta-GGA SCAN
Structure: single point on PBEsol structure

a = 4.4788 Å, b = 4.4788 Å, c = 4.4788 Å
α = 60.00°, β = 60.00°, γ = 60.00°
Last column: nearest neighbours and their distance in Å.
Element x y z (fractional)
As 0.5000 0.5000 0.5000  8 Cl 2.74
N 0.0000 0.0000 0.0000  8 Cl 2.74
Cl 0.2500 0.2500 0.2500  4 As 2.74, 4 N 2.74
Cl 0.7500 0.7500 0.7500  4 N 2.74, 4 As 2.74

Calculated values
- SG = Fm-3m (225)
- formation energy without anion corrections (eV per atom) = 1.233



Compound: AcH3
Source: Alexandria
Functional: meta-GGA SCAN
Structure: single point on PBEsol structure

a = 4.0370 Å, b = 4.0370 Å, c = 4.0370 Å
α = 60.00°, β = 60.00°, γ = 60.00°
Last column: nearest neighbours and their distance in Å.
Element x y z (fractional)
H 0.2500 0.2500 0.2500  4 H 2.47, 4 Ac 2.47
H 0.7500 0.7500 0.7500  4 H 2.47, 4 Ac 2.47
H 0.5000 0.5000 0.5000  8 H 2.47
Ac 0.0000 0.0000 0.0000  8 H 2.47

Calculated values
- SG = Fm-3m (225)
- uncorrected energy (hartree per atom) = -0.951



Compound: K2AlMo
Source: Alexandria
Functional: meta-GGA SCAN
Structure: single point on PBEsol structure

a = 3.6132 Å, b = 3.6106 Å, c = 10.1324 Å
α = 90.00°, β = 90.09°, γ = 90.00°
Last column: nearest neighbours and their distance in Å.
Element x y z (fractional)
Mo 0.0016 0.0000 0.6062  4 Al 2.58
K 0.9968 0.0000 0.9225  1 Mo 3.21
K 0.4999 0.5000 0.3269  1 Al 3.22
Al 0.5017 0.5000 0.6444  4 Mo 2.58

Calculated values
- SG = Pm (6)
- uncorrected energy (hartree per atom) = -0.524



Compound: Cs2ZnH4
Source: Alexandria
Functional: meta-GGA SCAN
Structure: single point on PBEsol structure

a = 6.1379 Å, b = 8.3609 Å, c = 10.7741 Å
α = 90.00°, β = 90.00°, γ = 90.00°
Last column: nearest neighbours and their distance in Å.
Element x y z (fractional)
Cs 0.7500 0.8406 0.4045  11 H 3.10-3.43, 1 Zn 3.47
Cs 0.7500 0.3406 0.0955  11 H 3.10-3.43, 1 Zn 3.47
Cs 0.2500 0.1594 0.5955  11 H 3.10-3.43, 1 Zn 3.47
Cs 0.2500 0.6594 0.9045  11 H 3.10-3.43, 1 Zn 3.47
Cs 0.7500 0.5173 0.6841  9 H 2.97-3.22
Cs 0.7500 0.0173 0.8159  9 H 2.97-3.22
Cs 0.2500 0.4827 0.3159  9 H 2.97-3.22
Cs 0.2500 0.9827 0.1841  9 H 2.97-3.22
Zn 0.7500 0.7549 0.0851  4 H 1.65-1.66
Zn 0.7500 0.2549 0.4149  4 H 1.65-1.66
Zn 0.2500 0.2451 0.9149  4 H 1.65-1.66
Zn 0.2500 0.7451 0.5851  4 H 1.65-1.66
H 0.5300 0.6824 0.1530  1 Zn 1.65
H 0.9700 0.1824 0.3470  1 Zn 1.65
H 0.0300 0.3176 0.8470  1 Zn 1.65
H 0.4700 0.8176 0.6530  1 Zn 1.65
H 0.4700 0.3176 0.8470  1 Zn 1.65
H 0.0300 0.8176 0.6530  1 Zn 1.65
H 0.9700 0.6824 0.1530  1 Zn 1.65
H 0.5300 0.1824 0.3470  1 Zn 1.65
H 0.7500 0.9514 0.0976  1 Zn 1.65
H 0.7500 0.4514 0.4024  1 Zn 1.65
H 0.2500 0.0486 0.9024  1 Zn 1.65
H 0.2500 0.5486 0.5976  1 Zn 1.65
H 0.7500 0.1916 0.5605  1 Zn 1.66
H 0.7500 0.6916 0.9395  1 Zn 1.66
H 0.2500 0.8084 0.4395  1 Zn 1.66
H 0.2500 0.3084 0.0605  1 Zn 1.66

Calculated values
- SG = Pnma (62)
- uncorrected energy (hartree per atom) = -0.553



Compound: Ca2RuO4
Source: Alexandria
Functional: meta-GGA SCAN
Structure: single point on PBEsol structure

a = 5.3206 Å, b = 5.3113 Å, c = 12.1666 Å
α = 90.00°, β = 90.00°, γ = 90.00°
Last column: nearest neighbours and their distance in Å.
Element x y z (fractional)
Ca 0.5145 0.0355 0.1522  5 O 2.25-2.44
Ca 0.0145 0.4645 0.8478  5 O 2.25-2.44
Ca 0.4855 0.5355 0.3478  5 O 2.25-2.44
Ca 0.9855 0.9645 0.6522  5 O 2.25-2.44
Ca 0.4855 0.9645 0.8478  5 O 2.25-2.44
Ca 0.9855 0.5355 0.1522  5 O 2.25-2.44
Ca 0.5145 0.4645 0.6522  5 O 2.25-2.44
Ca 0.0145 0.0355 0.3478  5 O 2.25-2.44
Ru 0.5000 0.0000 0.5000  6 O 1.94-2.04
Ru 0.0000 0.5000 0.5000  6 O 1.94-2.04
Ru 0.5000 0.5000 0.0000  6 O 1.94-2.04
Ru 0.0000 0.0000 0.0000  6 O 1.94-2.04
O 0.6945 0.3051 0.4817  2 Ru 1.94
O 0.1945 0.1949 0.5183  2 Ru 1.94
O 0.3055 0.8051 0.0183  2 Ru 1.94
O 0.8055 0.6949 0.9817  2 Ru 1.94
O 0.3055 0.6949 0.5183  2 Ru 1.94
O 0.8055 0.8051 0.4817  2 Ru 1.94
O 0.6945 0.1949 0.9817  2 Ru 1.94
O 0.1945 0.3051 0.0183  2 Ru 1.94
O 0.4505 0.9843 0.3335  1 Ru 2.04, 1 Ca 2.25
O 0.9505 0.5157 0.6665  1 Ru 2.04, 1 Ca 2.25
O 0.5495 0.4843 0.1665  1 Ru 2.04, 1 Ca 2.25
O 0.0495 0.0157 0.8335  1 Ru 2.04, 1 Ca 2.25
O 0.5495 0.0157 0.6665  1 Ru 2.04, 1 Ca 2.25
O 0.0495 0.4843 0.3335  1 Ru 2.04, 1 Ca 2.25
O 0.4505 0.5157 0.8335  1 Ru 2.04, 1 Ca 2.25
O 0.9505 0.9843 0.1665  1 Ru 2.04, 1 Ca 2.25

Calculated values
- SG = Pbca (61)
- formation energy without anion corrections (eV per atom) = -2.402
- distance to the lowest polymorph of the same formula (eV/atom) = 0.0000



Compound: ZrNi2Se
Source: Alexandria
Functional: meta-GGA SCAN
Structure: single point on PBEsol structure

a = 3.7715 Å, b = 4.2691 Å, c = 4.5466 Å
α = 113.21°, β = 90.00°, γ = 116.21°
Last column: nearest neighbours and their distance in Å.
Element x y z (fractional)
Ni 0.9970 0.9939 0.9660  2 Se 2.44, 1 Zr 2.54, 1 Ni 2.63
Ni 0.2033 0.4067 0.6322  3 Se 2.37-2.40, 1 Ni 2.63
Se 0.5202 0.0404 0.6450  5 Ni 2.37-2.44, 1 Zr 2.61
Zr 0.7795 0.5590 0.2568  5 Ni 2.54-2.77, 3 Se 2.61-2.69

Calculated values
- SG = Cm (8)
- formation energy without anion corrections (eV per atom) = -0.448



Compound: Cs3BiAu
Source: Alexandria
Functional: meta-GGA SCAN
Structure: single point on PBEsol structure

a = 6.5121 Å, b = 6.5121 Å, c = 6.5121 Å
α = 90.00°, β = 90.00°, γ = 90.00°
Last column: nearest neighbours and their distance in Å.
Element x y z (fractional)
Cs 0.0000 0.5000 0.0000  2 Au 3.26
Cs 0.0000 0.0000 0.5000  2 Au 3.26
Cs 0.5000 0.0000 0.0000  2 Au 3.26
Au 0.0000 0.0000 0.0000  6 Cs 3.26
Bi 0.5000 0.5000 0.5000  12 Cs 4.60

Calculated values
- SG = Pm-3m (221)
- uncorrected energy (hartree per atom) = -1.928



Compound: Ta2Pt3S8
Source: Alexandria
Functional: meta-GGA SCAN
Structure: single point on PBEsol structure

a = 3.4290 Å, b = 10.4159 Å, c = 14.3568 Å
α = 90.00°, β = 90.00°, γ = 90.00°
Last column: nearest neighbours and their distance in Å.
Element x y z (fractional)
Ta 0.5000 0.2008 0.1217  6 S 2.45-2.50
Ta 0.5000 0.2992 0.6217  6 S 2.45-2.50
Ta 0.5000 0.7992 0.8783  6 S 2.45-2.50
Ta 0.5000 0.7008 0.3783  6 S 2.45-2.50
Pt 0.0000 0.8635 0.2752  5 S 2.35-2.44
Pt 0.0000 0.1365 0.7248  5 S 2.35-2.44
Pt 0.0000 0.3635 0.2248  5 S 2.35-2.44
Pt 0.0000 0.6365 0.7752  5 S 2.35-2.44
Pt 0.0000 0.5000 0.5000  4 S 2.31-2.33
Pt 0.0000 0.0000 0.0000  4 S 2.31-2.33
S 0.5000 0.0644 0.6260  2 Pt 2.35, 1 Ta 2.45
S 0.0000 0.2237 0.9977  1 Pt 2.33, 2 Ta 2.48
S 0.5000 0.4356 0.1260  2 Pt 2.35, 1 Ta 2.45
S 0.0000 0.4659 0.6590  2 Pt 2.31-2.44, 2 Ta 2.50
S 0.0000 0.2763 0.4977  1 Pt 2.33, 2 Ta 2.48
S 0.0000 0.9659 0.8410  2 Pt 2.31-2.44, 2 Ta 2.50
S 0.0000 0.7237 0.5023  1 Pt 2.33, 2 Ta 2.48
S 0.0000 0.0341 0.1590  2 Pt 2.31-2.44, 2 Ta 2.50
S 0.5000 0.7385 0.2099  2 Pt 2.35, 1 Ta 2.45
S 0.0000 0.5341 0.3410  2 Pt 2.31-2.44, 2 Ta 2.50
S 0.5000 0.5644 0.8740  2 Pt 2.35, 1 Ta 2.45
S 0.5000 0.2385 0.2901  2 Pt 2.35, 1 Ta 2.45
S 0.0000 0.7763 0.0023  1 Pt 2.33, 2 Ta 2.48
S 0.5000 0.2615 0.7901  2 Pt 2.35, 1 Ta 2.45
S 0.5000 0.7615 0.7099  2 Pt 2.35, 1 Ta 2.45
S 0.5000 0.9356 0.3740  2 Pt 2.35, 1 Ta 2.45

Calculated values
- SG = Pbam (55)
- formation energy without anion corrections (eV per atom) = -0.868



Compound: CuReNi2
Source: Alexandria
Functional: meta-GGA SCAN
Structure: single point on PBEsol structure

a = 2.6052 Å, b = 2.6052 Å, c = 8.2598 Å
α = 80.93°, β = 80.93°, γ = 60.00°
Last column: nearest neighbours and their distance in Å.
Element x y z (fractional)
Cu 0.0000 0.0000 0.0000  6 Ni 2.49, 6 Cu 2.61
Ni 0.2519 0.2519 0.2444  3 Cu 2.49, 3 Re 2.56, 6 Ni 2.61
Ni 0.7481 0.7481 0.7556  3 Cu 2.49, 3 Re 2.56, 6 Ni 2.61
Re 0.5000 0.5000 0.5000  6 Ni 2.56, 6 Re 2.61

Calculated values
- SG = R-3m (166)
- distance to the lowest polymorph of the same formula (eV/atom) = 0.1004



Compound: NaMg3Pt
Source: Alexandria
Functional: meta-GGA SCAN
Structure: single point on PBEsol structure

a = 4.8309 Å, b = 4.8309 Å, c = 4.8309 Å
α = 90.00°, β = 90.00°, γ = 90.00°
Last column: nearest neighbours and their distance in Å.
Element x y z (fractional)
Na 0.0000 0.0000 0.0000  6 Mg 2.42
Mg 0.0000 0.5000 0.0000  2 Na 2.42
Mg 0.0000 0.0000 0.5000  2 Na 2.42
Mg 0.5000 0.0000 0.0000  2 Na 2.42
Pt 0.5000 0.5000 0.5000  12 Mg 3.42

Calculated values
- SG = Pm-3m (221)
- distance to the lowest polymorph of the same formula (eV/atom) = 1.4047



Compound: MgSnPd2Br
Source: Alexandria
Functional: meta-GGA SCAN
Structure: single point on PBEsol structure

a = 4.9364 Å, b = 4.9364 Å, c = 5.4621 Å
α = 90.00°, β = 90.00°, γ = 90.00°
Last column: nearest neighbours and their distance in Å.
Element x y z (fractional)
Mg 0.0000 0.0000 0.5000  2 Sn 2.73
Br 0.5000 0.5000 0.5000  4 Mg 3.49, 8 Pd 3.68
Sn 0.0000 0.0000 0.0000  4 Pd 2.47, 2 Mg 2.73
Pd 0.0000 0.5000 0.0000  2 Sn 2.47
Pd 0.5000 0.0000 0.0000  2 Sn 2.47

Calculated values
- SG = P4/mmm (123)
- formation energy without anion corrections (eV per atom) = 0.334



Compound: Sc2TiClO
Source: Alexandria
Functional: meta-GGA SCAN
Structure: single point on PBEsol structure

a = 3.7011 Å, b = 5.2910 Å, c = 5.2910 Å
α = 90.00°, β = 90.00°, γ = 90.00°
Last column: nearest neighbours and their distance in Å.
Element x y z (fractional)
Sc 0.0000 0.0000 0.5000  2 Ti 2.65
Sc 0.0000 0.5000 0.0000  2 Ti 2.65
Cl 0.5000 0.5000 0.5000  8 Sc 3.23
O 0.5000 0.0000 0.0000  2 Ti 1.85
Ti 0.0000 0.0000 0.0000  2 O 1.85

Calculated values
- SG = P4/mmm (123)
- formation energy without anion corrections (eV per atom) = -0.655